No. 1
The following is a meta-GGA SCAN calculation of a crystal of ZnTe6O13 relaxed with PBEsol, from Alexandria.

Summary:
Space group   R-3 (148)
Energy relative to the elements, uncorrected   -1.1520 eV/atom

a b c (Å): 8.579 8.579 8.579
angles (deg): 71.92 71.92 71.92
Fractional coordinates of all 40 atoms:
Zn 0.244 0.244 0.244
Zn 0.756 0.756 0.756
Te 0.026 0.330 0.916
Te 0.084 0.974 0.670
Te 0.167 0.568 0.484
Te 0.330 0.916 0.026
Te 0.432 0.516 0.833
Te 0.484 0.167 0.568
Te 0.516 0.833 0.432
Te 0.568 0.484 0.167
Te 0.670 0.084 0.974
Te 0.833 0.432 0.516
Te 0.916 0.026 0.330
Te 0.974 0.670 0.084
O 0.044 0.136 0.389
O 0.104 0.396 0.422
O 0.116 0.796 0.873
O 0.127 0.884 0.204
O 0.136 0.389 0.044
O 0.199 0.453 0.702
O 0.204 0.127 0.884
O 0.298 0.801 0.547
O 0.389 0.044 0.136
O 0.396 0.422 0.104
O 0.415 0.415 0.415
O 0.422 0.104 0.396
O 0.453 0.702 0.199
O 0.547 0.298 0.801
O 0.578 0.896 0.604
O 0.585 0.585 0.585
O 0.604 0.578 0.896
O 0.611 0.956 0.864
O 0.702 0.199 0.453
O 0.796 0.873 0.116
O 0.801 0.547 0.298
O 0.864 0.611 0.956
O 0.873 0.116 0.796
O 0.884 0.204 0.127
O 0.896 0.604 0.578
O 0.956 0.864 0.611

No. 2
The following is a meta-GGA SCAN calculation of a crystal of Zn2Te3O8 relaxed with PBEsol, from Alexandria.

Summary:
Space group   C2/c (15)
Energy relative to the elements, uncorrected   -1.2944 eV/atom

a b c (Å): 6.792 6.792 11.686
angles (deg): 98.70 98.70 45.08
Fractional coordinates of all 26 atoms:
Zn 0.017 0.441 0.344
Zn 0.441 0.017 0.844
Zn 0.559 0.983 0.156
Zn 0.983 0.559 0.656
Te 0.067 0.665 0.949
Te 0.148 0.852 0.250
Te 0.335 0.933 0.551
Te 0.665 0.067 0.449
Te 0.852 0.148 0.750
Te 0.933 0.335 0.051
O 0.002 0.771 0.362
O 0.005 0.159 0.358
O 0.159 0.005 0.858
O 0.189 0.424 0.812
O 0.229 0.998 0.138
O 0.249 0.285 0.036
O 0.285 0.249 0.536
O 0.424 0.189 0.312
O 0.576 0.811 0.688
O 0.715 0.751 0.464
O 0.751 0.715 0.964
O 0.771 0.002 0.862
O 0.811 0.576 0.188
O 0.841 0.995 0.142
O 0.995 0.841 0.642
O 0.998 0.229 0.638

No. 3
The following is a meta-GGA SCAN calculation of a crystal of ZnTe2O5 relaxed with PBEsol, from Alexandria.

Summary:
Space group   P4_2/nbc (133)
Energy relative to the elements, uncorrected   -1.2366 eV/atom

a b c (Å): 8.628 8.628 12.755
angles (deg): 90.00 90.00 90.00
Fractional coordinates of all 64 atoms:
Zn 0.250 0.250 0.000
Zn 0.250 0.250 0.250
Zn 0.250 0.250 0.500
Zn 0.250 0.250 0.750
Zn 0.750 0.750 0.000
Zn 0.750 0.750 0.250
Zn 0.750 0.750 0.500
Zn 0.750 0.750 0.750
Te 0.039 0.571 0.115
Te 0.039 0.929 0.885
Te 0.071 0.539 0.615
Te 0.071 0.961 0.385
Te 0.429 0.539 0.385
Te 0.429 0.961 0.615
Te 0.461 0.571 0.885
Te 0.461 0.929 0.115
Te 0.539 0.071 0.885
Te 0.539 0.429 0.115
Te 0.571 0.039 0.385
Te 0.571 0.461 0.615
Te 0.929 0.039 0.615
Te 0.929 0.461 0.385
Te 0.961 0.071 0.115
Te 0.961 0.429 0.885
O 0.015 0.126 0.951
O 0.015 0.374 0.049
O 0.051 0.051 0.750
O 0.051 0.449 0.250
O 0.110 0.177 0.368
O 0.110 0.323 0.632
O 0.126 0.015 0.549
O 0.126 0.485 0.451
O 0.177 0.110 0.132
O 0.177 0.390 0.868
O 0.323 0.110 0.868
O 0.323 0.390 0.132
O 0.374 0.015 0.451
O 0.374 0.485 0.549
O 0.390 0.177 0.632
O 0.390 0.323 0.368
O 0.449 0.051 0.250
O 0.449 0.449 0.750
O 0.485 0.126 0.049
O 0.485 0.374 0.951
O 0.515 0.626 0.049
O 0.515 0.874 0.951
O 0.551 0.551 0.250
O 0.551 0.949 0.750
O 0.610 0.677 0.632
O 0.610 0.823 0.368
O 0.626 0.515 0.451
O 0.626 0.985 0.549
O 0.677 0.610 0.868
O 0.677 0.890 0.132
O 0.823 0.610 0.132
O 0.823 0.890 0.868
O 0.874 0.515 0.549
O 0.874 0.985 0.451
O 0.890 0.677 0.368
O 0.890 0.823 0.632
O 0.949 0.551 0.750
O 0.949 0.949 0.250
O 0.985 0.626 0.951
O 0.985 0.874 0.049

No. 4
The following is a meta-GGA SCAN calculation of a crystal of ZnTe2O5 relaxed with PBEsol, from Alexandria.

Summary:
Space group   Pnma (62)
Energy relative to the elements, uncorrected   -1.2380 eV/atom

a b c (Å): 9.131 12.146 8.205
angles (deg): 90.00 90.00 90.00
Fractional coordinates of all 64 atoms:
Zn 0.007 0.124 0.022
Zn 0.007 0.376 0.022
Zn 0.493 0.624 0.522
Zn 0.493 0.876 0.522
Zn 0.507 0.124 0.478
Zn 0.507 0.376 0.478
Zn 0.993 0.624 0.978
Zn 0.993 0.876 0.978
Te 0.105 0.250 0.692
Te 0.156 0.514 0.349
Te 0.156 0.986 0.349
Te 0.182 0.750 0.669
Te 0.318 0.250 0.169
Te 0.344 0.014 0.849
Te 0.344 0.486 0.849
Te 0.395 0.750 0.192
Te 0.605 0.250 0.808
Te 0.656 0.514 0.151
Te 0.656 0.986 0.151
Te 0.682 0.750 0.831
Te 0.818 0.250 0.331
Te 0.844 0.014 0.651
Te 0.844 0.486 0.651
Te 0.895 0.750 0.308
O 0.009 0.625 0.416
O 0.009 0.875 0.416
O 0.036 0.750 0.137
O 0.108 0.250 0.171
O 0.117 0.510 0.121
O 0.117 0.990 0.121
O 0.161 0.629 0.815
O 0.161 0.871 0.815
O 0.191 0.121 0.854
O 0.191 0.379 0.854
O 0.309 0.621 0.354
O 0.309 0.879 0.354
O 0.339 0.129 0.315
O 0.339 0.371 0.315
O 0.383 0.010 0.621
O 0.383 0.490 0.621
O 0.392 0.750 0.671
O 0.464 0.250 0.637
O 0.491 0.125 0.916
O 0.491 0.375 0.916
O 0.509 0.625 0.084
O 0.509 0.875 0.084
O 0.536 0.750 0.363
O 0.608 0.250 0.329
O 0.617 0.510 0.379
O 0.617 0.990 0.379
O 0.661 0.629 0.685
O 0.661 0.871 0.685
O 0.691 0.121 0.646
O 0.691 0.379 0.646
O 0.809 0.621 0.146
O 0.809 0.879 0.146
O 0.839 0.129 0.185
O 0.839 0.371 0.185
O 0.883 0.010 0.879
O 0.883 0.490 0.879
O 0.892 0.750 0.829
O 0.964 0.250 0.863
O 0.991 0.125 0.584
O 0.991 0.375 0.584